Entry from the Alexandria database: crystalline MgH2OsRh at its relaxed geometry (PBE-GGA).

Calculated values
VASP energy, eV per atom: -4.386
N(E_F), states/eV/atom: 0.85
Volume, Å³/cell: 72

Cell: 3.5274 3.5274 5.8208 Å, 90.00 90.00 90.00°
Space group P4/mmm (No. 123)
Asymmetric unit:
Mg (0.0000, 0.0000, 0.0000) x1
H (0.0000, 0.5000, 0.0000) x2
Os (0.5000, 0.5000, 0.5000) x1
Rh (0.0000, 0.0000, 0.5000) x1